Record 1
LaTb5NdTh2 | PBE | optimized geometry

Results
Symmetry: I4/mcm (140)
Uncorrected energy in eV per atom: -4.990
V in Å³ per atom: 34.2
Formation enthalpy at 0 K in kcal/mol of atoms: 7.10

abc: 9.973 9.973 9.973
angles: 126.84 126.84 78.51
Fractional coordinates of all 18 atoms:
La 0.250 0.250 0.000
La 0.750 0.750 0.000
Tb 0.000 0.000 0.000
Tb 0.070 0.570 0.911
Tb 0.159 0.070 0.500
Tb 0.341 0.841 0.911
Tb 0.430 0.341 0.500
Tb 0.500 0.500 0.000
Tb 0.570 0.659 0.500
Tb 0.659 0.159 0.089
Tb 0.841 0.930 0.500
Tb 0.930 0.430 0.089
Nd 0.250 0.750 0.500
Nd 0.750 0.250 0.500
Th 0.119 0.381 0.500
Th 0.381 0.881 0.262
Th 0.619 0.119 0.738
Th 0.881 0.619 0.500

Record 2
Na4MgTl7 | PBE | optimized geometry

Results
Symmetry: P-1 (2)
Uncorrected energy in eV per atom: -2.003
V in Å³ per atom: 28.9
Formation enthalpy at 0 K in kcal/mol of atoms: -1.15

abc: 5.884 6.457 9.382
angles: 91.15 101.96 95.52
Fractional coordinates of all 12 atoms:
Na 0.183 0.164 0.266
Na 0.229 0.668 0.165
Na 0.771 0.332 0.835
Na 0.817 0.836 0.734
Mg 0.000 0.500 0.500
Tl 0.266 0.116 0.944
Tl 0.282 0.018 0.599
Tl 0.304 0.590 0.821
Tl 0.500 0.500 0.500
Tl 0.696 0.410 0.179
Tl 0.718 0.982 0.401
Tl 0.734 0.884 0.056

Record 3
VFeP | PBE | optimized geometry

Results
Symmetry: P-1 (2)
Uncorrected energy in eV per atom: -8.057
V in Å³ per atom: 11.9
Formation enthalpy at 0 K in kcal/mol of atoms: -9.08

abc: 3.894 4.360 4.702
angles: 79.81 65.65 89.95
Fractional coordinates of all 6 atoms:
V 0.099 0.278 0.300
V 0.901 0.722 0.700
Fe 0.414 0.199 0.673
Fe 0.586 0.801 0.327
P 0.213 0.799 0.073
P 0.787 0.201 0.927

Record 4
Nd4ZnCd2 | PBE | optimized geometry

Results
Symmetry: R-3m (166)
Uncorrected energy in eV per atom: -3.313
V in Å³ per atom: 30.4
Formation enthalpy at 0 K in kcal/mol of atoms: -3.35

abc: 9.136 9.136 9.136
angles: 34.01 34.01 34.01
Fractional coordinates of all 7 atoms:
Nd 0.123 0.123 0.123
Nd 0.374 0.374 0.374
Nd 0.626 0.626 0.626
Nd 0.877 0.877 0.877
Zn 0.500 0.500 0.500
Cd 0.248 0.248 0.248
Cd 0.752 0.752 0.752

Record 5
Zn3FeH | PBE | optimized geometry

Results
Symmetry: Pm-3m (221)
Uncorrected energy in eV per atom: -2.160
V in Å³ per atom: 21.1
E above lowest polymorph in meV per atom: 692

abc: 4.724 4.724 4.724
angles: 90.00 90.00 90.00
Fractional coordinates of all 5 atoms:
Zn 0.000 0.000 0.500
Zn 0.000 0.500 0.000
Zn 0.500 0.000 0.000
Fe 0.000 0.000 0.000
H 0.500 0.500 0.500

Record 6
MgTlZn2Ru | PBE | optimized geometry

Results
Symmetry: P4/mmm (123)
Uncorrected energy in eV per atom: -1.898
V in Å³ per atom: 24.7
Formation enthalpy at 0 K in kcal/mol of atoms: 29.02

abc: 4.824 4.824 5.297
angles: 90.00 90.00 90.00
Fractional coordinates of all 5 atoms:
Mg 0.000 0.000 0.000
Tl 0.000 0.000 0.500
Zn 0.000 0.500 0.000
Zn 0.500 0.000 0.000
Ru 0.500 0.500 0.500

Record 7
CaMo4Se | PBE | optimized geometry

Results
Symmetry: F-43m (216)
Uncorrected energy in eV per atom: -7.572
V in Å³ per atom: 18.8

abc: 5.421 5.421 5.421
angles: 60.00 60.00 60.00
Fractional coordinates of all 6 atoms:
Ca 0.000 0.000 0.000
Mo 0.130 0.623 0.623
Mo 0.623 0.130 0.623
Mo 0.623 0.623 0.130
Mo 0.623 0.623 0.623
Se 0.250 0.250 0.250

Record 8
Pr4Nd2Tm | PBE | optimized geometry

Results
Symmetry: Cmmm (65)
Uncorrected energy in eV per atom: -4.314
V in Å³ per atom: 35.8
Formation enthalpy at 0 K in kcal/mol of atoms: 9.64
E above lowest polymorph in meV per atom: 358

abc: 7.316 7.316 6.077
angles: 90.00 90.00 129.63
Fractional coordinates of all 7 atoms:
Pr 0.136 0.864 0.000
Pr 0.309 0.691 0.500
Pr 0.691 0.309 0.500
Pr 0.864 0.136 0.000
Nd 0.390 0.610 0.000
Nd 0.610 0.390 0.000
Tm 0.000 0.000 0.500

Record 9
TaMo2Cl | PBE | optimized geometry

Results
Symmetry: Cmm2 (35)
Uncorrected energy in eV per atom: -8.665
V in Å³ per atom: 18.3
E above lowest polymorph in meV per atom: 0

abc: 2.885 2.885 9.534
angles: 90.00 90.00 112.55
Fractional coordinates of all 4 atoms:
Ta 0.000 0.000 0.000
Mo 0.000 0.000 0.549
Mo 0.500 0.500 0.759
Cl 0.500 0.500 0.207

Record 10
PrPHIr | PBE | optimized geometry

Results
Symmetry: P6_3mc (186)
Uncorrected energy in eV per atom: -6.416
V in Å³ per atom: 16.8

abc: 3.939 3.939 10.015
angles: 90.00 90.00 120.00
Fractional coordinates of all 8 atoms:
Pr 0.333 0.667 0.000
Pr 0.667 0.333 0.500
P 0.333 0.667 0.689
P 0.667 0.333 0.189
H 0.000 0.000 0.417
H 0.000 0.000 0.917
Ir 0.000 0.000 0.246
Ir 0.000 0.000 0.746

What are the DOS(E_F) values for these records? In order: 1.414, 0.505, 0.814, 1.498, 0.901, 0.991, 0.844, 1.534, 0.758, 0.889 states/eV per atom.